Ca2CoAg | PBE | optimized geometry

a b c (Å): 5.091 5.091 3.557
angles (deg): 89.98 89.98 90.01
Each line ends with the local moment (μB).
Atoms (fractional coordinates):
Ag1 0.000 0.500 0.500  -0.01
Ca1 0.500 0.500 0.000  -0.06
Ca2 0.000 0.000 0.000  -0.06
Co1 0.500 0.000 0.500  1.29

As for the total energy: -3.371 eV/atom. The symmetry is P4/mmm (123). The value obtained for the offset from the most stable computed form is 0.061 eV/atom.